KHg3H: optimized geometry, PBE.

Lattice parameters (Å, degrees): 5.5576 5.8785 9.0012 78.60 74.89 65.44
Atoms (fractional coordinates):
K (0.0000, 0.0000, 0.0000)
K (0.0283, 0.4748, 0.5281)
Hg (0.2516, 0.3624, 0.1420)
Hg (0.3637, 0.8231, 0.6384)
Hg (0.4825, 0.7469, 0.2828)
Hg (0.5417, 0.2363, 0.7335)
Hg (0.7026, 0.6282, 0.9233)
Hg (0.7446, 0.1283, 0.3809)
H (0.4666, 0.0972, 0.9563)
H (0.9560, 0.0366, 0.6922)

Output
DFT total energy = -0.041 hartree per atom
Total magnetization = 0.000 μB per atom
Crystal system = triclinic
Space-group type = No. 1
DOS(E_F) = 1.28 states/eV per cell